Computed, not measured: a relaxed structure of UHBr2 at the PBE level of DFT.

Structure (CIF):
```
data_UHBr2
_cell_length_a 3.8192
_cell_length_b 3.8192
_cell_length_c 22.8110
_cell_angle_alpha 90.00
_cell_angle_beta 90.00
_cell_angle_gamma 120.00
_symmetry_space_group_name_H-M 'R 3 m'
_symmetry_Int_Tables_number 160
_symmetry_space_group_name_Hall 'R 3 -2"'
loop_
_atom_site_label
_atom_site_fract_x
_atom_site_fract_y
_atom_site_fract_z
U1 0.0000 0.0000 0.0000
H1 0.0000 0.0000 0.3334
Br1 0.0000 0.0000 0.5784
Br2 0.0000 0.0000 0.7549
```

Computed properties:
calculated density	6.90	g/cm³
DFT total energy	-5.504	eV per atom
density of states at the Fermi level	6.7	states/eV per cell